Entry 1:
! Pm4Dy5Th2 PBE optimized geometry; values from VASP
&SYSTEM
  ibrav = 0, nat = 11, ntyp = 3
/
ATOMIC_SPECIES
Pm 145.00 Pm.upf
Dy 162.50 Dy.upf
Th 232.04 Th.upf
CELL_PARAMETERS angstrom
-1.750 5.794 9.194
1.750 -5.794 9.194
1.750 5.794 -9.194
ATOMIC_POSITIONS crystal
Pm 0.091 0.091 0.000
Pm 0.235 0.500 0.735
Pm 0.765 0.500 0.265
Pm 0.909 0.909 0.000
Dy 0.029 0.320 0.709
Dy 0.389 0.680 0.709
Dy 0.500 0.000 0.500
Dy 0.611 0.320 0.291
Dy 0.971 0.680 0.291
Th 0.298 0.298 0.000
Th 0.702 0.702 0.000
! Calculated density, g/cm3: 8.27
! Distance to the lowest polymorph of the same formula, meV per atom: 234
! DFT total energy, eV per formula unit: -54.0
! Crystal system: orthorhombic
! DOS(E_F), states/eV/cell: 13.862

=====

Entry 2:
! KMnAl PBE optimized geometry; values from VASP
&SYSTEM
  ibrav = 0, nat = 12, ntyp = 3
/
ATOMIC_SPECIES
K 39.10 K.upf
Mn 54.94 Mn.upf
Al 26.98 Al.upf
CELL_PARAMETERS angstrom
7.006 0.000 0.000
0.000 7.006 0.000
0.000 0.000 7.006
ATOMIC_POSITIONS crystal
K 0.000 0.000 0.000
K 0.000 0.500 0.500
K 0.500 0.000 0.500
K 0.500 0.500 0.000
Mn 0.250 0.250 0.750
Mn 0.250 0.750 0.250
Mn 0.750 0.250 0.250
Mn 0.750 0.750 0.750
Al 0.000 0.000 0.500
Al 0.000 0.500 0.000
Al 0.500 0.000 0.000
Al 0.500 0.500 0.500
! Calculated density, g/cm3: 2.34
! Distance to the lowest polymorph of the same formula, meV per atom: 505
! DFT total energy, eV per formula unit: -11.2
! Crystal system: cubic
! DOS(E_F), states/eV/cell: 13.565

=====

Entry 3:
! PaReSbMo PBE optimized geometry; values from VASP
&SYSTEM
  ibrav = 0, nat = 16, ntyp = 4
/
ATOMIC_SPECIES
Pa 231.04 Pa.upf
Re 186.21 Re.upf
Sb 121.76 Sb.upf
Mo 95.94 Mo.upf
CELL_PARAMETERS angstrom
6.765 0.000 0.000
0.000 6.765 0.000
0.000 0.000 6.765
ATOMIC_POSITIONS crystal
Pa 0.000 0.000 0.000
Pa 0.000 0.500 0.500
Pa 0.500 0.000 0.500
Pa 0.500 0.500 0.000
Re 0.250 0.250 0.250
Re 0.250 0.750 0.750
Re 0.750 0.250 0.750
Re 0.750 0.750 0.250
Sb 0.000 0.000 0.500
Sb 0.000 0.500 0.000
Sb 0.500 0.000 0.000
Sb 0.500 0.500 0.500
Mo 0.250 0.250 0.750
Mo 0.250 0.750 0.250
Mo 0.750 0.250 0.250
Mo 0.750 0.750 0.750
! Calculated density, g/cm3: 13.62
! DFT total energy, eV per formula unit: -36.2
! Formation energy without anion corrections, meV per atom: 168
! Crystal system: cubic
! DOS(E_F), states/eV/cell: 27.416

=====

Q: The highest calculated density belongs to which entry?
A: PaReSbMo